6
Lattice="-3.1742 0.2872 -1.8699 -0.3740 -4.5868 -0.0697 -2.2088 2.3713 7.7649" Properties=species:S:1:pos:R:3 comment="GGA-PBE Sm2AgS3, optimized geometry" dft_energy_ev_per_atom=-5.56 spacegroup="No. 71" dos_ef_per_ev_atom=0.2482 e_form_raw_ev_per_atom=-1.446 total_magnetization_mub_per_atom=0.000 volume_a3_per_atom=22.33 pbc="T T T"
Sm -2.9113 -2.0865 0.9704
Sm -2.8457 0.1583 4.8549
Ag 0.0000 0.0000 0.0000
S -0.1870 -2.2934 -0.0348
S -4.3327 -2.0075 3.3953
S -1.4243 0.0792 2.4300

15
Lattice="6.9066 0.0000 3.9875 2.3022 6.5116 3.9875 0.0000 0.0000 7.9750" Properties=species:S:1:pos:R:3 comment="GGA-PBE Sm6AgS8, optimized geometry" dft_energy_ev_per_atom=-6.11 spacegroup="No. 225" dos_ef_per_ev_atom=0.3253 e_form_raw_ev_per_atom=-1.834 total_magnetization_mub_per_atom=0.000 volume_a3_per_atom=23.91 pbc="T T T"
Sm 1.1511 3.2558 5.9813
Sm 3.4533 0.0000 1.9938
Sm 4.6044 3.2558 3.9875
Sm 0.0000 0.0000 3.9875
Sm 1.1511 3.2558 1.9938
Sm 3.4533 0.0000 5.9813
Ag 0.0000 0.0000 0.0000
S 6.9066 4.8837 11.9625
S 2.3022 1.6279 3.9875
S 5.7459 1.6415 5.9979
S 3.4629 4.8701 9.9521
S 2.3214 1.6415 7.9750
S 6.8873 4.8701 7.9750
S 5.7459 1.6415 9.9521
S 3.4629 4.8701 5.9979

15
Lattice="-5.6277 -5.0822 -2.8483 5.3881 3.3173 -5.0470 2.1293 -5.3283 5.3003" Properties=species:S:1:pos:R:3 comment="GGA-PBE Sm3Ag3SnS8, optimized geometry" dft_energy_ev_per_atom=-5.04 spacegroup="No. 12" dos_ef_per_ev_atom=0.0804 e_form_raw_ev_per_atom=-1.063 total_magnetization_mub_per_atom=0.000 volume_a3_per_atom=23.60 pbc="T T T"
Sm -1.7492 -5.2053 1.2260
Sm 0.9449 -3.5466 -1.2975
Sm 3.7587 -1.0055 0.1266
Ag 0.0000 0.0000 0.0000
Ag 2.6940 1.6586 -2.5235
Ag -0.1198 -0.8825 -3.9477
Sn 1.0647 -2.6642 2.6501
S 1.8608 -1.0005 -1.8915
S 0.0289 -6.0928 -0.7036
S -0.8817 -3.5282 -3.4804
S 2.7714 -3.5651 0.8854
S 1.6061 -1.9950 -5.8104
S 0.2836 -5.0982 3.2153
S 4.6339 0.7393 -4.2780
S -2.7441 -7.8325 1.6829

16
Lattice="8.1608 0.0000 0.0000 0.0000 7.7284 -0.3173 -4.0804 -4.0844 5.7579" Properties=species:S:1:pos:R:3 comment="GGA-PBE Sm3Ag4SnS8, optimized geometry" dft_energy_ev_per_atom=-4.91 spacegroup="No. 12" dos_ef_per_ev_atom=0.1056 e_form_raw_ev_per_atom=-0.997 total_magnetization_mub_per_atom=0.000 volume_a3_per_atom=22.04 pbc="T T T"
Sm 4.0804 3.8642 -0.1586
Sm 2.0402 1.8220 2.7203
Sm -2.0402 1.8220 2.7203
Ag 4.0804 0.0000 0.0000
Ag 2.0402 -2.0422 2.8789
Ag 0.0000 0.0000 0.0000
Ag -2.0402 -2.0422 2.8789
Sn 0.0000 3.8642 -0.1586
S 2.0029 5.7703 -0.2224
S 0.0000 3.7657 2.6076
S 0.0000 -0.0838 2.8100
S 6.1579 5.7703 -0.2224
S -2.0775 -2.1263 5.6630
S 4.0804 3.7278 2.6306
S 4.0804 -0.1217 2.8330
S 2.0775 -2.1263 5.6630